Compound: CaAcPrDy
Source: the Alexandria database
Functional: PBE
Structure: relaxed

Cell lengths 3.799, 3.799, 10.673 Å; angles 90.00, 90.00, 90.00 degrees
Sites, in units of the cell vectors:
Ca  0.000  0.000  0.000
Ac  0.500  0.500  0.719
Pr  0.000  0.000  0.465
Dy  0.500  0.500  0.247

Values from the calculation:
Size of the total moment (μB/f.u.): 0.0
DOS at the Fermi energy (states/eV/f.u.): 5.8
ΔE_f (eV/f.u.): 0.2